1.
# Na2Tb3TmTe6 GGA-PBE relaxed
# **Magnetization**: 0.00 μB per formula unit
# **Energy relative to the elements, uncorrected**: -15.61 eV per formula unit
# **Energy**: -4.62 eV/atom
data_Na2Tb3TmTe6
_cell_length_a 7.599
_cell_length_b 13.146
_cell_length_c 7.696
_cell_angle_alpha 90.00
_cell_angle_beta 109.11
_cell_angle_gamma 90.00
_symmetry_space_group_name_H-M 'C 1 2/m 1'
_symmetry_Int_Tables_number 12
_symmetry_space_group_name_Hall '-C 2y'
loop_
_atom_site_label
_atom_site_type_symbol
_atom_site_fract_x
_atom_site_fract_y
_atom_site_fract_z
_atom_site_occupancy
Na1 Na 0.000 0.165 0.000 1
Tb1 Tb 0.000 0.000 0.500 1
Tb2 Tb 0.000 0.330 0.500 1
Tm1 Tm 0.000 0.500 0.000 1
Te1 Te 0.241 0.500 0.746 1
Te2 Te 0.246 0.336 0.249 1



2.
# NaTb2TmTe4 GGA-PBE relaxed
# **Magnetization**: 0.00 μB per formula unit
# **Energy relative to the elements, uncorrected**: -10.31 eV per formula unit
# **Energy**: -4.74 eV/atom
data_NaTb2TmTe4
_cell_length_a 7.599
_cell_length_b 4.340
_cell_length_c 7.623
_cell_angle_alpha 90.00
_cell_angle_beta 108.83
_cell_angle_gamma 90.00
_symmetry_space_group_name_H-M 'P 1 2/m 1'
_symmetry_Int_Tables_number 10
_symmetry_space_group_name_Hall '-P 2y'
loop_
_atom_site_label
_atom_site_type_symbol
_atom_site_fract_x
_atom_site_fract_y
_atom_site_fract_z
_atom_site_occupancy
Na1 Na 0.000 0.000 0.000 1
Tb1 Tb 0.000 0.500 0.500 1
Tb2 Tb 0.500 0.000 0.500 1
Tm1 Tm 0.500 0.500 0.000 1
Te1 Te 0.253 0.000 0.755 1
Te2 Te 0.253 0.500 0.249 1



3.
# Na3Tb2TmTe6 GGA-PBE relaxed
# **Magnetization**: 0.00 μB per formula unit
# **Energy relative to the elements, uncorrected**: -15.74 eV per formula unit
# **Energy**: -4.36 eV/atom
data_Na3Tb2TmTe6
_cell_length_a 7.661
_cell_length_b 13.269
_cell_length_c 7.987
_cell_angle_alpha 90.00
_cell_angle_beta 108.66
_cell_angle_gamma 90.00
_symmetry_space_group_name_H-M 'C 1 2/m 1'
_symmetry_Int_Tables_number 12
_symmetry_space_group_name_Hall '-C 2y'
loop_
_atom_site_label
_atom_site_type_symbol
_atom_site_fract_x
_atom_site_fract_y
_atom_site_fract_z
_atom_site_occupancy
Na1 Na 0.000 0.000 0.000 1
Na2 Na 0.000 0.332 0.000 1
Tb1 Tb 0.000 0.166 0.500 1
Tm1 Tm 0.000 0.500 0.500 1
Te1 Te 0.242 0.335 0.732 1
Te2 Te 0.248 0.000 0.732 1



4.
# Na2TbTmTe4 GGA-PBE relaxed
# **Magnetization**: 0.00 μB per formula unit
# **Energy relative to the elements, uncorrected**: -10.45 eV per formula unit
# **Energy**: -4.35 eV/atom
data_Na2TbTmTe4
_cell_length_a 7.640
_cell_length_b 4.414
_cell_length_c 7.990
_cell_angle_alpha 90.00
_cell_angle_beta 108.63
_cell_angle_gamma 90.00
_symmetry_space_group_name_H-M 'P 1 2/m 1'
_symmetry_Int_Tables_number 10
_symmetry_space_group_name_Hall '-P 2y'
loop_
_atom_site_label
_atom_site_type_symbol
_atom_site_fract_x
_atom_site_fract_y
_atom_site_fract_z
_atom_site_occupancy
Na1 Na 0.000 0.000 0.000 1
Na2 Na 0.500 0.500 0.000 1
Tb1 Tb 0.000 0.500 0.500 1
Tm1 Tm 0.500 0.000 0.500 1
Te1 Te 0.248 0.000 0.732 1
Te2 Te 0.260 0.500 0.270 1



5.
# Na4TbU3Te8 GGA-PBE relaxed
# **Magnetization**: 9.01 μB per formula unit
# **Energy relative to the elements, uncorrected**: -14.41 eV per formula unit
# **Energy**: -5.21 eV/atom
data_Na4TbU3Te8
_cell_length_a 8.8418
_cell_length_b 8.8418
_cell_length_c 22.8762
_cell_angle_alpha 90.00
_cell_angle_beta 90.00
_cell_angle_gamma 120.00
_symmetry_space_group_name_H-M 'R -3 m'
_symmetry_Int_Tables_number 166
_symmetry_space_group_name_Hall '-R 3 2"'
loop_
_atom_site_label
_atom_site_type_symbol
_atom_site_fract_x
_atom_site_fract_y
_atom_site_fract_z
_atom_site_occupancy
Na1 Na 0.0000 0.0000 0.0000 1
Na2 Na 0.0000 0.5000 0.0000 1
Tb1 Tb 0.0000 0.0000 0.5000 1
U1 U 0.0000 0.5000 0.5000 1
Te1 Te 0.0000 0.0000 0.2457 1
Te2 Te 0.0019 0.5010 0.2454 1



6.
# Na3TbU2Te6 GGA-PBE relaxed
# **Magnetization**: 6.01 μB per formula unit
# **Energy relative to the elements, uncorrected**: -11.34 eV per formula unit
# **Energy**: -5.11 eV/atom
data_Na3TbU2Te6
_cell_length_a 7.668
_cell_length_b 13.282
_cell_length_c 8.026
_cell_angle_alpha 90.00
_cell_angle_beta 108.56
_cell_angle_gamma 90.00
_symmetry_space_group_name_H-M 'C 1 2/m 1'
_symmetry_Int_Tables_number 12
_symmetry_space_group_name_Hall '-C 2y'
loop_
_atom_site_label
_atom_site_type_symbol
_atom_site_fract_x
_atom_site_fract_y
_atom_site_fract_z
_atom_site_occupancy
Na1 Na 0.000 0.000 0.000 1
Na2 Na 0.000 0.333 0.000 1
Tb1 Tb 0.000 0.500 0.500 1
U1 U 0.000 0.167 0.500 1
Te1 Te 0.245 0.334 0.736 1
Te2 Te 0.247 0.000 0.736 1



7.
# Na2Tb2UTe6 GGA-PBE relaxed
# **Magnetization**: 2.00 μB per formula unit
# **Energy relative to the elements, uncorrected**: -12.22 eV per formula unit
# **Energy**: -4.93 eV/atom
data_Na2Tb2UTe6
_cell_length_a 7.655
_cell_length_b 13.213
_cell_length_c 8.032
_cell_angle_alpha 90.00
_cell_angle_beta 108.59
_cell_angle_gamma 90.00
_symmetry_space_group_name_H-M 'C 1 2/m 1'
_symmetry_Int_Tables_number 12
_symmetry_space_group_name_Hall '-C 2y'
loop_
_atom_site_label
_atom_site_type_symbol
_atom_site_fract_x
_atom_site_fract_y
_atom_site_fract_z
_atom_site_occupancy
Na1 Na 0.000 0.168 0.000 1
Tb1 Tb 0.000 0.332 0.500 1
U1 U 0.000 0.000 0.500 1
Te1 Te 0.244 0.164 0.732 1
Te2 Te 0.247 0.500 0.730 1



8.
# Na4Tb3YTe8 GGA-PBE relaxed
# **Magnetization**: 0.00 μB per formula unit
# **Energy relative to the elements, uncorrected**: -21.18 eV per formula unit
# **Energy**: -4.50 eV/atom
data_Na4Tb3YTe8
_cell_length_a 8.8791
_cell_length_b 8.8791
_cell_length_c 22.7000
_cell_angle_alpha 90.00
_cell_angle_beta 90.00
_cell_angle_gamma 120.00
_symmetry_space_group_name_H-M 'R -3 m'
_symmetry_Int_Tables_number 166
_symmetry_space_group_name_Hall '-R 3 2"'
loop_
_atom_site_label
_atom_site_type_symbol
_atom_site_fract_x
_atom_site_fract_y
_atom_site_fract_z
_atom_site_occupancy
Na1 Na 0.0000 0.0000 0.0000 1
Na2 Na 0.0000 0.5000 0.0000 1
Tb1 Tb 0.0000 0.5000 0.5000 1
Y1 Y 0.0000 0.0000 0.5000 1
Te1 Te 0.0000 0.0000 0.2443 1
Te2 Te 0.0006 0.5003 0.2442 1



9.
# NaTb3Y2Te6 GGA-PBE relaxed
# **Magnetization**: 0.00 μB per formula unit
# **Energy relative to the elements, uncorrected**: -15.87 eV per formula unit
# **Energy**: -5.24 eV/atom
data_NaTb3Y2Te6
_cell_length_a 19.160
_cell_length_b 4.372
_cell_length_c 8.821
_cell_angle_alpha 90.00
_cell_angle_beta 103.47
_cell_angle_gamma 90.00
_symmetry_space_group_name_H-M 'C 1 2/m 1'
_symmetry_Int_Tables_number 12
_symmetry_space_group_name_Hall '-C 2y'
loop_
_atom_site_label
_atom_site_type_symbol
_atom_site_fract_x
_atom_site_fract_y
_atom_site_fract_z
_atom_site_occupancy
Na1 Na 0.000 0.000 0.000 1
Tb1 Tb 0.000 0.000 0.500 1
Tb2 Tb 0.164 0.500 0.825 1
Y1 Y 0.169 0.500 0.342 1
Te1 Te 0.002 0.500 0.252 1
Te2 Te 0.166 0.000 0.583 1
Te3 Te 0.168 0.000 0.084 1



10.
# Na3TbY2Te6 GGA-PBE relaxed
# **Magnetization**: 0.00 μB per formula unit
# **Energy relative to the elements, uncorrected**: -15.94 eV per formula unit
# **Energy**: -4.69 eV/atom
data_Na3TbY2Te6
_cell_length_a 7.679
_cell_length_b 13.302
_cell_length_c 7.990
_cell_angle_alpha 90.00
_cell_angle_beta 108.69
_cell_angle_gamma 90.00
_symmetry_space_group_name_H-M 'C 1 2/m 1'
_symmetry_Int_Tables_number 12
_symmetry_space_group_name_Hall '-C 2y'
loop_
_atom_site_label
_atom_site_type_symbol
_atom_site_fract_x
_atom_site_fract_y
_atom_site_fract_z
_atom_site_occupancy
Na1 Na 0.000 0.000 0.000 1
Na2 Na 0.000 0.333 0.000 1
Tb1 Tb 0.000 0.500 0.500 1
Y1 Y 0.000 0.167 0.500 1
Te1 Te 0.244 0.000 0.733 1
Te2 Te 0.245 0.333 0.733 1



11.
# Na4TbY3Te8 GGA-PBE relaxed
# **Magnetization**: 0.00 μB per formula unit
# **Energy relative to the elements, uncorrected**: -21.27 eV per formula unit
# **Energy**: -4.73 eV/atom
data_Na4TbY3Te8
_cell_length_a 8.8620
_cell_length_b 8.8620
_cell_length_c 22.7169
_cell_angle_alpha 90.00
_cell_angle_beta 90.00
_cell_angle_gamma 120.00
_symmetry_space_group_name_H-M 'R -3 m'
_symmetry_Int_Tables_number 166
_symmetry_space_group_name_Hall '-R 3 2"'
loop_
_atom_site_label
_atom_site_type_symbol
_atom_site_fract_x
_atom_site_fract_y
_atom_site_fract_z
_atom_site_occupancy
Na1 Na 0.0000 0.0000 0.0000 1
Na2 Na 0.0000 0.5000 0.0000 1
Tb1 Tb 0.0000 0.0000 0.5000 1
Y1 Y 0.0000 0.5000 0.5000 1
Te1 Te 0.0000 0.0000 0.2441 1
Te2 Te 0.0006 0.5003 0.7558 1



12.
# NaTb2Y3Te6 GGA-PBE relaxed
# **Magnetization**: 0.00 μB per formula unit
# **Energy relative to the elements, uncorrected**: -15.91 eV per formula unit
# **Energy**: -5.39 eV/atom
data_NaTb2Y3Te6
_cell_length_a 19.164
_cell_length_b 4.369
_cell_length_c 8.821
_cell_angle_alpha 90.00
_cell_angle_beta 103.48
_cell_angle_gamma 90.00
_symmetry_space_group_name_H-M 'C 1 2/m 1'
_symmetry_Int_Tables_number 12
_symmetry_space_group_name_Hall '-C 2y'
loop_
_atom_site_label
_atom_site_type_symbol
_atom_site_fract_x
_atom_site_fract_y
_atom_site_fract_z
_atom_site_occupancy
Na1 Na 0.000 0.000 0.000 1
Tb1 Tb 0.170 0.500 0.343 1
Y1 Y 0.000 0.000 0.500 1
Y2 Y 0.165 0.500 0.825 1
Te1 Te 0.002 0.500 0.252 1
Te2 Te 0.165 0.000 0.584 1
Te3 Te 0.168 0.000 0.083 1